Compound: SrCdPb2
Source: Alexandria via LeMat-Bulk
Functional: GGA-PBEsol
Structure: relaxed

Unit cell a=4.910 b=4.910 c=4.688 alpha=90.00 beta=90.00 gamma=90.00
Atoms (fractional coordinates):
Sr 0.000 0.000 0.000
Cd 0.500 0.500 0.000
Pb 0.000 0.500 0.500
Pb 0.500 0.000 0.500

## Properties
- Space group: P4/mmm, No. 123
- Formation energy: -0.325 eV/atom
- Electronic total energy: -3.083 eV per atom
- D(E_F): 1.67 states/eV per cell